Density functional theory data (SCAN) for a crystal of La2TcI relaxed with PBEsol.

Values from the calculation:
Space group: Fm-3m
Volume: 103.6 Å³/f.u.
Formation energy without anion corrections: -0.031 eV/atom
Total magnetization: 0.4 μB/f.u.
Final energy: -158.134 eV per cell
DOS at the Fermi energy: 0.7260 states/eV/atom

a = 5.271 Å, b = 5.271 Å, c = 5.271 Å
α = 60.00°, β = 60.00°, γ = 60.00°
Fractional coordinates of all 4 atoms:
1 I 0.500 0.500 0.500
2 Tc 0.000 0.000 0.000
3 La 0.250 0.250 0.250
4 La 0.750 0.750 0.750